# Al2NiCl | Alexandria | PBE-GGA | optimized geometry
# Crystal system ... orthorhombic
# Formation energy without anion corrections ... -87 meV/atom
# Uncorrected energy ... -3.866 eV/atom
data_Al2NiCl
_chemical_formula_sum 'Al2 Ni1 Cl1'
_cell_length_a 2.947
_cell_length_b 2.947
_cell_length_c 7.621
_cell_angle_alpha 90.00
_cell_angle_beta 90.00
_cell_angle_gamma 90.14
_symmetry_space_group_name_H-M 'P 1'
_symmetry_Int_Tables_number 1
loop_
_symmetry_equiv_pos_as_xyz
'x,y,z'
loop_
_atom_site_label
_atom_site_type_symbol
_atom_site_fract_x
_atom_site_fract_y
_atom_site_fract_z
Ni1 Ni 0.500 0.500 0.810
Al1 Al 0.000 0.000 0.980
Al2 Al 0.500 0.500 0.240
Cl1 Cl 0.000 0.000 0.470